Record 1
Material: NdSiHO4
Method: DFT, GGA-PBE
State: optimized geometry

Lattice parameters (Å, degrees): 9.4030 9.4030 9.4030 112.59 112.59 112.59
Positions (direct):
H 0.8341 0.6627 0.5639
H 0.6627 0.5639 0.8341
O 0.4554 0.1617 0.5166
Nd 0.9307 0.3944 0.1370
Nd 0.3944 0.1370 0.9307
O 0.2728 0.8863 0.6123
O 0.8383 0.4834 0.5446
Si 0.2582 0.3512 0.6959
Si 0.7418 0.6488 0.3041
O 0.3027 0.7957 0.8387
O 0.8387 0.3027 0.7957
Nd 0.6056 0.8630 0.0693
Nd 0.0693 0.6056 0.8630
O 0.8426 0.7650 0.5460
O 0.1617 0.5166 0.4554
Nd 0.1370 0.9307 0.3944
O 0.2043 0.1613 0.6973
O 0.5446 0.8383 0.4834
O 0.7957 0.8387 0.3027
O 0.4834 0.5446 0.8383
Si 0.6488 0.3041 0.7418
O 0.8863 0.6123 0.2728
O 0.7650 0.5460 0.8426
H 0.1659 0.3373 0.4361
Si 0.3041 0.7418 0.6488
O 0.2350 0.4540 0.1574
O 0.3877 0.7272 0.1137
O 0.4540 0.1574 0.2350
Si 0.6959 0.2582 0.3512
O 0.5460 0.8426 0.7650
H 0.4361 0.1659 0.3373
Si 0.3512 0.6959 0.2582
O 0.7272 0.1137 0.3877
O 0.1613 0.6973 0.2043
H 0.5639 0.8341 0.6627
H 0.3373 0.4361 0.1659
Nd 0.8630 0.0693 0.6056
O 0.6123 0.2728 0.8863
O 0.5166 0.4554 0.1617
O 0.1574 0.2350 0.4540
O 0.1137 0.3877 0.7272
O 0.6973 0.2043 0.1613

SG: R-3
Relative energy among the computed polymorphs, meV/atom: 93
Final energy, eV/atom: -7.37

***

Record 2
Material: NdSiHO4
Method: DFT, GGA-PBE
State: optimized geometry

Lattice parameters (Å, degrees): 4.8982 9.3717 6.5682 90.00 90.00 90.00
Positions (direct):
Nd 0.7998 0.2879 0.2500
H 0.0000 0.0000 0.0000
O 0.8767 0.8932 0.5541
O 0.1074 0.4355 0.7500
H 0.5000 0.5000 0.0000
Si 0.2848 0.0350 0.2500
O 0.1233 0.1068 0.4459
H 0.5000 0.5000 0.5000
O 0.2612 0.3633 0.2500
O 0.1233 0.1068 0.0541
O 0.8926 0.5645 0.2500
O 0.7388 0.6367 0.7500
O 0.8767 0.8932 0.9459
Si 0.2152 0.5350 0.2500
O 0.3767 0.6068 0.4459
Nd 0.2002 0.7121 0.7500
H 0.0000 0.0000 0.5000
O 0.2388 0.8633 0.2500
O 0.6233 0.3932 0.9459
O 0.7612 0.1367 0.7500
Nd 0.2998 0.2121 0.7500
Si 0.7152 0.9650 0.7500
O 0.6074 0.0645 0.2500
Nd 0.7002 0.7879 0.2500
Si 0.7848 0.4650 0.7500
O 0.3767 0.6068 0.0541
O 0.6233 0.3932 0.5541
O 0.3926 0.9355 0.7500

SG: Pnma
Relative energy among the computed polymorphs, meV/atom: 105
Final energy, eV/atom: -7.35

***

Record 3
Material: NdSiHO4
Method: DFT, GGA-PBE
State: optimized geometry

Lattice parameters (Å, degrees): 5.0148 6.7359 4.5707 90.00 96.95 90.00
Positions (direct):
O 0.2969 0.7500 0.7958
O 0.8871 0.4401 0.7039
Si 0.2985 0.7500 0.4405
H 0.0000 0.0000 0.5000
H 0.0000 0.5000 0.5000
O 0.1129 0.9401 0.2961
Nd 0.7905 0.7500 0.9309
O 0.1129 0.5599 0.2961
O 0.7031 0.2500 0.2042
O 0.8871 0.0599 0.7039
Nd 0.2095 0.2500 0.0691
Si 0.7015 0.2500 0.5595
O 0.6061 0.7500 0.3746
O 0.3939 0.2500 0.6254

SG: P2_1/m
Relative energy among the computed polymorphs, meV/atom: 46
Final energy, eV/atom: -7.41